No. 1
The following is a DFT calculation (PBE) of a geometry-optimized Li2Pr3Ge3 structure.

Unit cell a=4.411 b=6.133 c=14.879 alpha=90.00 beta=90.00 gamma=111.08
Each line ends with the local moment (μB).
Positions (direct):
1 Li 0.784 0.569 0.921  0.00
2 Li 0.216 0.431 0.421  0.00
3 Li 0.784 0.569 0.579  0.00
4 Li 0.216 0.431 0.079  0.00
5 Pr 0.919 0.837 0.386  0.10
6 Pr 0.081 0.163 0.886  0.10
7 Pr 0.919 0.837 0.114  0.10
8 Pr 0.081 0.163 0.614  0.10
9 Pr 0.634 0.268 0.250  0.15
10 Pr 0.366 0.732 0.750  0.15
11 Ge 0.597 0.194 0.455  0.00
12 Ge 0.403 0.806 0.955  0.00
13 Ge 0.597 0.194 0.045  0.00
14 Ge 0.403 0.806 0.545  0.00
15 Ge 0.327 0.654 0.250  -0.01
16 Ge 0.673 0.346 0.750  -0.01

Properties
- ΔE_f (meV per atom) = -667
- energy (eV/cell) = -74.70

---

No. 2
The following is a DFT calculation (PBE) of a geometry-optimized Tb8Sm2Th structure.

Unit cell a=5.060 b=7.998 c=9.460 alpha=104.63 beta=105.51 gamma=90.00
Positions (direct):
1 Tb 0.590 0.452 0.180
2 Tb 0.320 0.093 0.640
3 Tb 0.135 0.178 0.269
4 Tb 0.044 0.732 0.089
5 Tb 0.865 0.822 0.731
6 Tb 0.680 0.907 0.360
7 Tb 0.410 0.548 0.820
8 Tb 0.956 0.268 0.911
9 Sm 0.228 0.636 0.456
10 Sm 0.772 0.364 0.544
11 Th 0.500 0.000 0.000

Properties
- ΔE_f (meV per atom) = 25
- energy (eV/cell) = -53.63
- energy above the lowest structure with this stoichiometry (eV/f.u.) = 0.000

---

No. 3
The following is a DFT calculation (PBE) of a geometry-optimized AcPrCdIn structure.

Unit cell a=3.975 b=3.975 c=8.064 alpha=90.00 beta=90.00 gamma=90.00
Positions (direct):
1 Ac 0.500 0.500 0.607
2 Pr 0.500 0.500 0.105
3 Cd 0.000 0.000 0.878
4 In 0.000 0.000 0.337

Properties
- ΔE_f (meV per atom) = -374
- energy (eV/cell) = -14.04
- energy above the lowest structure with this stoichiometry (eV/f.u.) = 0.000

---

No. 4
The following is a DFT calculation (PBE) of a geometry-optimized K2Ba2Na5 structure.

Unit cell a=10.156 b=10.059 c=10.507 alpha=90.00 beta=61.10 gamma=90.00
Positions (direct):
1 K 0.125 0.377 0.000
2 K 0.875 0.623 0.000
3 K 0.375 0.877 0.000
4 K 0.625 0.123 0.000
5 Ba 0.235 0.000 0.530
6 Ba 0.735 0.500 0.530
7 Ba 0.765 0.000 0.470
8 Ba 0.265 0.500 0.470
9 Na 0.000 0.000 0.000
10 Na 0.500 0.500 0.000
11 Na 0.425 0.221 0.711
12 Na 0.864 0.779 0.711
13 Na 0.364 0.721 0.711
14 Na 0.925 0.279 0.711
15 Na 0.575 0.779 0.289
16 Na 0.136 0.221 0.289
17 Na 0.636 0.279 0.289
18 Na 0.075 0.721 0.289

Properties
- ΔE_f (meV per atom) = 95
- energy (eV/cell) = -23.56